Material: SrTePdO
Method: DFT, GGA-PBE
State: relaxed

Unit cell a=6.5183 b=7.3611 c=7.9165 alpha=90.00 beta=90.00 gamma=90.00
With the nearest neighbours (Å) after each atom.
Space group P2_12_12_1 (No. 19)
Inequivalent atoms, fractional coordinates:
1 Sr 0.1323 0.1836 0.3317  2 O 2.38-2.41
2 Te 0.1772 0.3786 0.9194  1 O 2.00
3 Pd 0.0552 0.1228 0.7202  2 Te 2.58-2.60
4 O 0.0557 0.5015 0.3626  1 Te 2.00

## Properties
**Final energy**: -78.23 eV/cell
**E above lowest polymorph**: 0.70 eV per formula unit